No. 1
The following is a PBE calculation of a geometry-optimized TaRuCl2 structure, from Alexandria via LeMat-Bulk. Values from VASP.

E_tot (eV per atom): -5.96
ΔE_f (raw) (meV per atom): 244
Symmetry: R-3m, No. 166
V (Å³ per atom): 20.9

```
&SYSTEM
  ibrav = 0, nat = 4, ntyp = 3
/
ATOMIC_SPECIES
Ta 180.95 Ta.upf
Ru 101.07 Ru.upf
Cl 35.45 Cl.upf
ATOMIC_POSITIONS crystal
Ta 0.000 0.000 0.000
Ru 0.500 0.500 0.500
Cl 0.276 0.276 0.276
Cl 0.724 0.724 0.724
CELL_PARAMETERS angstrom
1.496 0.864 10.773
-1.496 0.864 10.773
0.000 -1.728 10.773
```

=====

No. 2
The following is a PBE calculation of a geometry-optimized TaRuCl2 structure, from Alexandria via LeMat-Bulk. Values from VASP.

E_tot (eV per atom): -5.68
ΔE_f (raw) (meV per atom): 521
Symmetry: F-43m, No. 216
V (Å³ per atom): 16.6

```
&SYSTEM
  ibrav = 0, nat = 4, ntyp = 3
/
ATOMIC_SPECIES
Ta 180.95 Ta.upf
Ru 101.07 Ru.upf
Cl 35.45 Cl.upf
ATOMIC_POSITIONS crystal
Ta 0.000 0.000 0.000
Ru 0.250 0.250 0.250
Cl 0.500 0.500 0.500
Cl 0.750 0.750 0.750
CELL_PARAMETERS angstrom
0.000 3.211 3.211
3.211 0.000 3.211
3.211 3.211 0.000
```

=====

No. 3
The following is a PBE calculation of a geometry-optimized TaRuCl2 structure, from Alexandria via LeMat-Bulk. Values from VASP.

E_tot (eV per atom): -6.69
ΔE_f (raw) (meV per atom): -485
Symmetry: Pm, No. 6
V (Å³ per atom): 22.0

```
&SYSTEM
  ibrav = 0, nat = 4, ntyp = 3
/
ATOMIC_SPECIES
Ta 180.95 Ta.upf
Ru 101.07 Ru.upf
Cl 35.45 Cl.upf
ATOMIC_POSITIONS crystal
Ta 0.000 0.000 0.000
Ru 0.496 0.500 0.834
Cl 0.006 0.500 0.226
Cl 0.488 0.000 0.612
CELL_PARAMETERS angstrom
3.400 0.000 0.000
0.000 2.987 0.000
-0.079 0.000 8.646
```

=====

No. 4
The following is a PBE calculation of a geometry-optimized Ta2RuCl structure, from Alexandria via LeMat-Bulk. Values from VASP.

E_tot (eV per atom): -7.87
ΔE_f (raw) (meV per atom): 833
Symmetry: F-43m, No. 216
V (Å³ per atom): 17.0

```
&SYSTEM
  ibrav = 0, nat = 4, ntyp = 3
/
ATOMIC_SPECIES
Ta 180.95 Ta.upf
Ru 101.07 Ru.upf
Cl 35.45 Cl.upf
ATOMIC_POSITIONS crystal
Ta 0.000 0.000 0.000
Ta 0.250 0.250 0.250
Ru 0.500 0.500 0.500
Cl 0.750 0.750 0.750
CELL_PARAMETERS angstrom
0.000 3.239 3.239
3.239 0.000 3.239
3.239 3.239 0.000
```

=====

No. 5
The following is a PBE calculation of a geometry-optimized TaRuCl2 structure, from Alexandria via LeMat-Bulk. Values from VASP.

E_tot (eV per atom): -6.06
ΔE_f (raw) (meV per atom): 150
Symmetry: Imm2, No. 44
V (Å³ per atom): 22.0

```
&SYSTEM
  ibrav = 0, nat = 4, ntyp = 3
/
ATOMIC_SPECIES
Ta 180.95 Ta.upf
Ru 101.07 Ru.upf
Cl 35.45 Cl.upf
ATOMIC_POSITIONS crystal
Ta 0.000 0.000 0.000
Ru 0.155 0.655 0.500
Cl 0.496 0.496 0.000
Cl 0.805 0.305 0.500
CELL_PARAMETERS angstrom
-1.579 2.469 5.634
1.579 -2.469 5.634
1.579 2.469 -5.634
```

=====

No. 6
The following is a PBE calculation of a geometry-optimized TaRu2Cl structure, from Alexandria via LeMat-Bulk. Values from VASP.

E_tot (eV per atom): -7.98
ΔE_f (raw) (meV per atom): 86
Symmetry: P4/mmm, No. 123
V (Å³ per atom): 16.6

```
&SYSTEM
  ibrav = 0, nat = 4, ntyp = 3
/
ATOMIC_SPECIES
Ta 180.95 Ta.upf
Ru 101.07 Ru.upf
Cl 35.45 Cl.upf
ATOMIC_POSITIONS crystal
Ta 0.000 0.000 0.000
Ru 0.500 0.500 0.218
Ru 0.500 0.500 0.782
Cl 0.000 0.000 0.500
CELL_PARAMETERS angstrom
3.120 0.000 0.000
0.000 3.120 0.000
0.000 0.000 6.831
```

=====

No. 7
The following is a PBE calculation of a geometry-optimized TaRuCl2 structure, from Alexandria via LeMat-Bulk. Values from VASP.

E_tot (eV per atom): -6.45
ΔE_f (raw) (meV per atom): -242
Symmetry: P4mm, No. 99
V (Å³ per atom): 19.9

```
&SYSTEM
  ibrav = 0, nat = 4, ntyp = 3
/
ATOMIC_SPECIES
Ta 180.95 Ta.upf
Ru 101.07 Ru.upf
Cl 35.45 Cl.upf
ATOMIC_POSITIONS crystal
Ta 0.000 0.000 0.000
Ru 0.500 0.500 0.822
Cl 0.000 0.000 0.613
Cl 0.500 0.500 0.215
CELL_PARAMETERS angstrom
3.071 0.000 0.000
0.000 3.071 0.000
0.000 0.000 8.449
```

=====

No. 8
The following is a PBE calculation of a geometry-optimized Ta2RuCl structure, from Alexandria via LeMat-Bulk. Values from VASP.

E_tot (eV per atom): -8.19
ΔE_f (raw) (meV per atom): 518
Symmetry: Pmmm, No. 47
V (Å³ per atom): 16.9

```
&SYSTEM
  ibrav = 0, nat = 4, ntyp = 3
/
ATOMIC_SPECIES
Ta 180.95 Ta.upf
Ru 101.07 Ru.upf
Cl 35.45 Cl.upf
ATOMIC_POSITIONS crystal
Ta 0.000 0.000 0.000
Ta 0.500 0.000 0.500
Ru 0.000 0.500 0.500
Cl 0.500 0.500 0.000
CELL_PARAMETERS angstrom
3.093 0.000 0.000
0.000 4.217 0.000
0.000 0.000 5.192
```

=====

No. 9
The following is a PBE calculation of a geometry-optimized TaRuCl2 structure, from Alexandria via LeMat-Bulk. Values from VASP.

E_tot (eV per atom): -5.76
ΔE_f (raw) (meV per atom): 445
Symmetry: Cmmm, No. 65
V (Å³ per atom): 18.0

```
&SYSTEM
  ibrav = 0, nat = 4, ntyp = 3
/
ATOMIC_SPECIES
Ta 180.95 Ta.upf
Ru 101.07 Ru.upf
Cl 35.45 Cl.upf
ATOMIC_POSITIONS crystal
Ta 0.000 0.000 0.000
Ru 0.000 0.000 0.500
Cl 0.500 0.500 0.231
Cl 0.500 0.500 0.769
CELL_PARAMETERS angstrom
1.444 -2.782 0.000
1.444 2.782 0.000
0.000 0.000 8.949
```

=====

No. 10
The following is a PBE calculation of a geometry-optimized Ta4RuCl structure, from Alexandria via LeMat-Bulk. Values from VASP.

E_tot (eV per atom): -8.87
ΔE_f (raw) (meV per atom): 887
Symmetry: F-43m, No. 216
V (Å³ per atom): 18.9

```
&SYSTEM
  ibrav = 0, nat = 6, ntyp = 3
/
ATOMIC_SPECIES
Ta 180.95 Ta.upf
Ru 101.07 Ru.upf
Cl 35.45 Cl.upf
ATOMIC_POSITIONS crystal
Ta 0.376 0.376 0.376
Ta 0.376 0.376 0.873
Ta 0.376 0.873 0.376
Ta 0.873 0.376 0.376
Ru 0.750 0.750 0.750
Cl 0.000 0.000 0.000
CELL_PARAMETERS angstrom
0.000 3.842 3.842
3.842 0.000 3.842
3.842 3.842 0.000
```

=====

No. 11
The following is a PBE calculation of a geometry-optimized Ta2RuCl structure, from Alexandria via LeMat-Bulk. Values from VASP.

E_tot (eV per atom): -8.13
ΔE_f (raw) (meV per atom): 578
Symmetry: I-4m2, No. 119
V (Å³ per atom): 16.8

```
&SYSTEM
  ibrav = 0, nat = 4, ntyp = 3
/
ATOMIC_SPECIES
Ta 180.95 Ta.upf
Ru 101.07 Ru.upf
Cl 35.45 Cl.upf
ATOMIC_POSITIONS crystal
Ta 0.000 0.000 0.000
Ta 0.750 0.250 0.500
Ru 0.500 0.500 0.000
Cl 0.250 0.750 0.500
CELL_PARAMETERS angstrom
-1.844 1.844 4.928
1.844 -1.844 4.928
1.844 1.844 -4.928
```

=====

No. 12
The following is a PBE calculation of a geometry-optimized Ta2RuCl structure, from Alexandria via LeMat-Bulk. Values from VASP.

E_tot (eV per atom): -8.49
ΔE_f (raw) (meV per atom): 218
Symmetry: Cm, No. 8
V (Å³ per atom): 17.2

```
&SYSTEM
  ibrav = 0, nat = 4, ntyp = 3
/
ATOMIC_SPECIES
Ta 180.95 Ta.upf
Ru 101.07 Ru.upf
Cl 35.45 Cl.upf
ATOMIC_POSITIONS crystal
Ta 0.000 0.000 0.000
Ta 0.726 0.726 0.391
Ru 0.436 0.436 0.454
Cl 0.200 0.200 0.823
CELL_PARAMETERS angstrom
5.367 -1.495 0.000
5.367 1.495 0.000
-1.150 0.000 4.295
```